1.
Below is an optimized crystal structure of CdAuCl6, with properties calculated at the GGA-PBE level.

The structure in extended XYZ format:
```
8
Lattice="6.311 0.000 0.000 2.899 5.639 0.000 2.962 1.589 5.817" Properties=species:S:1:pos:R:3 pbc="T T T"
Cd 0.000 0.000 0.000
Au 6.086 3.614 2.909
Cl 4.156 3.614 4.269
Cl 4.977 5.567 1.407
Cl 7.083 5.248 4.297
Cl 5.089 1.980 1.521
Cl 7.195 1.661 4.411
Cl 8.016 3.614 1.548
```

Computed properties:
Polymorph energy (0 for the lowest one) ... 0.67 eV per formula unit
DOS at the Fermi energy ... 2.0 states/eV per cell
VASP energy ... -18.3 eV per cell
Formation energy (no corrections) ... -3.00 eV/f.u.
Total magnetization ... 0.9 μB per cell
Calculated volume ... 25.88 A^3/atom
Mass density ... 4.2 g cm⁻³

=====

2.
Below is an optimized crystal structure of Cd2AuCl, with properties calculated at the GGA-PBE level.

The structure in extended XYZ format:
```
4
Lattice="1.912 1.104 7.584 -1.912 1.104 7.584 0.000 -2.208 7.584" Properties=species:S:1:pos:R:3 pbc="T T T"
Cd 0.000 0.000 5.555
Cd 0.000 0.000 17.196
Au 0.000 0.000 11.376
Cl 0.000 0.000 0.000
```

Computed properties:
Polymorph energy (0 for the lowest one) ... 0.13 eV per formula unit
DOS at the Fermi energy ... 1.5 states/eV per cell
VASP energy ... -8.3 eV per cell
Formation energy (no corrections) ... -1.34 eV/f.u.
Total magnetization ... 0.0 μB per cell
Calculated volume ... 24.01 A^3/atom
Mass density ... 7.9 g cm⁻³

=====

3.
Below is an optimized crystal structure of Cd2AuCl, with properties calculated at the GGA-PBE level.

The structure in extended XYZ format:
```
4
Lattice="1.821 1.052 8.214 -1.821 1.052 8.214 0.000 -2.103 8.214" Properties=species:S:1:pos:R:3 pbc="T T T"
Cd 0.000 0.000 0.000
Cd 0.000 0.000 6.030
Au 0.000 0.000 12.419
Cl 0.000 0.000 18.199
```

Computed properties:
Polymorph energy (0 for the lowest one) ... 0.65 eV per formula unit
DOS at the Fermi energy ... 1.4 states/eV per cell
VASP energy ... -7.8 eV per cell
Formation energy (no corrections) ... -0.81 eV/f.u.
Total magnetization ... 0.0 μB per cell
Calculated volume ... 23.60 A^3/atom
Mass density ... 8.0 g cm⁻³

=====

4.
Below is an optimized crystal structure of Cd3AuCl, with properties calculated at the GGA-PBE level.

The structure in extended XYZ format:
```
5
Lattice="5.332 0.000 0.000 0.000 5.332 0.000 0.000 0.000 5.332" Properties=species:S:1:pos:R:3 pbc="T T T"
Cd 0.000 0.000 2.666
Cd 0.000 2.666 0.000
Cd 2.666 0.000 0.000
Au 0.000 0.000 0.000
Cl 2.666 2.666 2.666
```

Computed properties:
Polymorph energy (0 for the lowest one) ... 0.00 eV per formula unit
DOS at the Fermi energy ... 1.9 states/eV per cell
VASP energy ... -8.8 eV per cell
Formation energy (no corrections) ... -0.88 eV/f.u.
Total magnetization ... 0.0 μB per cell
Calculated volume ... 30.31 A^3/atom
Mass density ... 6.2 g cm⁻³

=====

5.
Below is an optimized crystal structure of Cd2AuCl, with properties calculated at the GGA-PBE level.

The structure in extended XYZ format:
```
8
Lattice="-3.722 3.722 3.592 3.722 -3.722 3.592 3.722 3.722 -3.592" Properties=species:S:1:pos:R:3 pbc="T T T"
Cd 5.583 1.813 -0.898
Cd 1.813 1.861 0.898
Cd -1.861 1.909 2.694
Cd 1.909 1.861 4.490
Au 0.000 0.000 0.000
Au 0.000 3.722 1.796
Cl 3.722 0.000 1.796
Cl 0.000 0.000 3.592
```

Computed properties:
Polymorph energy (0 for the lowest one) ... 0.51 eV per formula unit
DOS at the Fermi energy ... 0.0 states/eV per cell
VASP energy ... -15.8 eV per cell
Formation energy (no corrections) ... -0.95 eV/f.u.
Total magnetization ... 0.0 μB per cell
Calculated volume ... 24.88 A^3/atom
Mass density ... 7.6 g cm⁻³

=====

6.
Below is an optimized crystal structure of CdAuCl5, with properties calculated at the GGA-PBE level.

The structure in extended XYZ format:
```
14
Lattice="5.134 -5.965 0.000 5.134 5.965 0.000 -4.870 0.000 6.892" Properties=species:S:1:pos:R:3 pbc="T T T"
Cd 2.567 2.983 0.000
Cd 0.132 -2.983 3.446
Au 1.482 5.073 5.169
Au 3.917 -5.073 1.723
Cl -0.138 3.408 5.147
Cl -1.974 0.722 5.239
Cl 0.461 -0.722 1.793
Cl 3.917 1.744 1.723
Cl 3.102 3.408 5.191
Cl 2.297 -3.408 1.701
Cl 1.482 -1.744 5.169
Cl 4.938 0.722 5.099
Cl 7.373 -0.722 1.653
Cl 5.537 -3.408 1.745
```

Computed properties:
VASP energy ... -35.0 eV per cell
Formation energy (no corrections) ... -4.05 eV/f.u.
Total magnetization ... 0.0 μB per cell
Calculated volume ... 30.16 A^3/atom
Mass density ... 3.8 g cm⁻³

=====

7.
Below is an optimized crystal structure of Cd2AuCl, with properties calculated at the GGA-PBE level.

The structure in extended XYZ format:
```
4
Lattice="3.405 0.000 0.000 0.000 3.411 0.000 0.000 0.000 7.770" Properties=species:S:1:pos:R:3 pbc="T T T"
Cd 0.000 0.000 1.663
Cd 0.000 0.000 6.107
Au 1.702 1.706 0.000
Cl 0.000 1.706 3.885
```

Computed properties:
Polymorph energy (0 for the lowest one) ... 0.04 eV per formula unit
DOS at the Fermi energy ... 1.4 states/eV per cell
VASP energy ... -8.4 eV per cell
Formation energy (no corrections) ... -1.43 eV/f.u.
Total magnetization ... 0.0 μB per cell
Calculated volume ... 22.56 A^3/atom
Mass density ... 8.4 g cm⁻³

=====

8.
Below is an optimized crystal structure of Cd3Au5Cl12, with properties calculated at the GGA-PBE level.

The structure in extended XYZ format:
```
80
Lattice="-8.346 8.346 8.346 8.346 -8.346 8.346 8.346 8.346 -8.346" Properties=species:S:1:pos:R:3 pbc="T T T"
Cd 4.173 2.086 0.000
Cd 8.346 4.173 -2.086
Cd 2.086 0.000 4.173
Cd 10.432 0.000 4.173
Cd 0.000 4.173 2.086
Cd 4.173 -2.086 8.346
Cd 4.173 10.432 0.000
Cd 8.346 4.173 6.259
Cd -2.086 8.346 4.173
Cd 6.259 8.346 4.173
Cd 0.000 4.173 10.432
Cd 4.173 6.259 8.346
Au 0.000 0.000 0.000
Au 4.173 4.173 -4.173
Au 4.173 -4.173 4.173
Au 8.346 0.000 0.000
Au 12.518 2.086 0.000
Au 8.346 -4.173 6.259
Au 6.259 8.346 -4.173
Au 6.259 0.000 4.173
Au 4.173 6.259 0.000
Au 8.346 4.173 2.086
Au -4.173 4.173 4.173
Au 0.000 8.346 0.000
Au 0.000 0.000 8.346
Au 4.173 4.173 4.173
Au 0.000 4.173 6.259
Au 4.173 2.086 8.346
Au 2.086 8.346 4.173
Au 2.086 0.000 12.518
Au 0.000 12.518 2.086
Au -4.173 6.259 8.346
Cl 10.962 -0.022 0.206
Cl 9.902 -3.967 4.151
Cl 2.616 0.022 0.206
Cl 9.902 4.379 -4.151
Cl 8.367 -0.206 2.616
Cl 12.497 -1.557 3.967
Cl 4.379 4.151 -1.557
Cl 8.139 2.616 -0.022
Cl 0.206 2.616 0.022
Cl 12.312 4.194 -1.557
Cl 0.022 0.206 2.616
Cl 4.151 -1.557 4.379
Cl 8.367 8.139 -2.616
Cl 4.151 1.557 3.967
Cl 3.967 4.151 1.557
Cl 8.552 5.729 -0.022
Cl 4.379 -4.151 9.902
Cl 8.139 -2.616 8.367
Cl 4.151 9.902 -3.967
Cl 8.367 0.206 5.729
Cl 1.557 3.967 4.151
Cl 2.616 -0.022 8.139
Cl 2.616 8.367 -0.206
Cl 9.902 3.967 4.194
Cl -1.557 4.379 4.151
Cl 5.729 -0.022 8.552
Cl 5.729 8.367 0.206
Cl 6.789 4.379 4.194
Cl -0.022 8.139 2.616
Cl 4.194 -1.557 12.312
Cl 0.206 10.962 -0.022
Cl 3.967 12.497 -1.557
Cl -0.206 2.616 8.367
Cl 4.379 4.194 6.789
Cl 4.194 6.789 4.379
Cl -0.022 0.206 10.962
Cl 4.194 9.902 3.967
Cl 8.324 8.139 5.729
Cl -3.967 4.151 9.902
Cl 8.139 5.729 8.324
Cl 0.206 5.729 8.367
Cl 3.967 4.194 9.902
Cl -4.151 9.902 4.379
Cl -0.022 8.552 5.729
Cl -1.557 3.967 12.497
Cl 5.729 8.324 8.139
Cl -1.557 12.312 4.194
Cl -2.616 8.367 8.139
```

Computed properties:
DOS at the Fermi energy ... 24.0 states/eV per cell
VASP energy ... -193.3 eV per cell
Formation energy (no corrections) ... -7.04 eV/f.u.
Total magnetization ... 0.0 μB per cell
Calculated volume ... 29.06 A^3/atom
Mass density ... 5.0 g cm⁻³

=====

9.
Below is an optimized crystal structure of CdAu2Cl8, with properties calculated at the GGA-PBE level.

The structure in extended XYZ format:
```
11
Lattice="6.130 -3.922 0.000 6.130 3.922 0.000 -1.849 0.000 6.364" Properties=species:S:1:pos:R:3 pbc="T T T"
Cd 0.000 0.000 0.000
Au 1.423 0.000 4.457
Au 8.988 0.000 1.907
Cl 4.547 2.270 1.346
Cl 1.781 0.000 1.968
Cl 5.864 2.270 5.018
Cl 3.734 0.000 4.636
Cl 6.677 0.000 1.728
Cl 4.547 -2.270 1.346
Cl 8.631 0.000 4.396
Cl 5.864 -2.270 5.018
```

Computed properties:
DOS at the Fermi energy ... 9.6 states/eV per cell
VASP energy ... -24.4 eV per cell
Formation energy (no corrections) ... -2.15 eV/f.u.
Total magnetization ... 1.1 μB per cell
Calculated volume ... 27.82 A^3/atom
Mass density ... 4.3 g cm⁻³

=====

10.
Below is an optimized crystal structure of CdCo2AuCl, with properties calculated at the GGA-PBE level.

The structure in extended XYZ format:
```
5
Lattice="4.078 0.000 0.000 0.000 4.078 0.000 0.000 0.000 6.201" Properties=species:S:1:pos:R:3 pbc="T T T"
Cd 0.000 0.000 0.000
Co 0.000 2.039 3.101
Co 2.039 0.000 3.101
Au 2.039 2.039 0.000
Cl 2.039 2.039 3.101
```

Computed properties:
DOS at the Fermi energy ... 5.7 states/eV per cell
VASP energy ... -16.7 eV per cell
Formation energy (no corrections) ... 3.54 eV/f.u.
Total magnetization ... 2.9 μB per cell
Calculated volume ... 20.63 A^3/atom
Mass density ... 7.4 g cm⁻³

=====

11.
Below is an optimized crystal structure of CsCdAuCl6, with properties calculated at the GGA-PBE level.

The structure in extended XYZ format:
```
9
Lattice="6.794 0.000 0.000 -3.397 5.883 0.000 0.000 0.000 7.784" Properties=species:S:1:pos:R:3 pbc="T T T"
Cs 0.000 0.000 0.000
Cd 0.000 3.922 3.892
Au 3.397 1.961 3.892
Cl 2.535 0.086 5.365
Cl 1.342 2.152 2.419
Cl 4.259 0.086 2.419
Cl 2.204 3.646 5.365
Cl 5.452 2.152 5.365
Cl 4.590 3.646 2.419
```

Computed properties:
DOS at the Fermi energy ... 0.7 states/eV per cell
VASP energy ... -23.9 eV per cell
Formation energy (no corrections) ... -7.78 eV/f.u.
Total magnetization ... 2.0 μB per cell
Calculated volume ... 34.57 A^3/atom
Mass density ... 3.5 g cm⁻³

=====

12.
Below is an optimized crystal structure of CdIn2AuCl, with properties calculated at the GGA-PBE level.

The structure in extended XYZ format:
```
5
Lattice="5.329 0.000 0.000 0.000 5.329 0.000 0.000 0.000 5.335" Properties=species:S:1:pos:R:3 pbc="T T T"
Cd 0.000 0.000 0.000
In 0.000 2.664 2.668
In 2.664 0.000 2.668
Au 0.000 0.000 2.668
Cl 2.664 2.664 0.000
```

Computed properties:
DOS at the Fermi energy ... 1.4 states/eV per cell
VASP energy ... -12.9 eV per cell
Formation energy (no corrections) ... -1.39 eV/f.u.
Total magnetization ... 0.0 μB per cell
Calculated volume ... 30.30 A^3/atom
Mass density ... 6.3 g cm⁻³

=====

The lowest VASP energy belongs to which entry? Cd3Au5Cl12